(1)
This record from Alexandria via LeMat-Bulk describes crystalline NaHo2Ag at its relaxed geometry. The functional is PBE. Values from VASP.

Results
VASP energy in eV per atom: -3.166
Excess energy over the best structure of this formula in the dataset in meV/atom: 136
Fermi-level density of states in states/eV per cell: 3.7
Energy of formation in meV/atom: 166
Magnetic moment in μB per formula unit: 0.0
Space-group type: R-3m, No. 166

Structure (Quantum ESPRESSO input):
```
&SYSTEM
  ibrav = 0, nat = 4, ntyp = 3
/
ATOMIC_SPECIES
Na 22.99 Na.upf
Ho 164.93 Ho.upf
Ag 107.87 Ag.upf
ATOMIC_POSITIONS crystal
Na 0.000 0.000 0.000
Ho 0.099 0.099 0.704
Ho 0.901 0.901 0.296
Ag 0.500 0.500 0.500
CELL_PARAMETERS angstrom
-2.369 1.449 -1.987
-0.302 -0.949 -3.267
-8.560 -8.107 1.360
```


(2)
This record from Alexandria via LeMat-Bulk describes crystalline LiHg2Ru at its relaxed geometry. The functional is PBE. Values from VASP.

Results
VASP energy in eV per atom: -2.782
Excess energy over the best structure of this formula in the dataset in meV/atom: 107
Fermi-level density of states in states/eV per cell: 1.9
Energy of formation in meV/atom: 166
Magnetic moment in μB per formula unit: 0.8
Space-group type: Cm, No. 8

Structure (Quantum ESPRESSO input):
```
&SYSTEM
  ibrav = 0, nat = 4, ntyp = 3
/
ATOMIC_SPECIES
Hg 200.59 Hg.upf
Li 6.94 Li.upf
Ru 101.07 Ru.upf
ATOMIC_POSITIONS crystal
Hg 0.992 0.992 0.091
Hg 0.752 0.752 0.674
Li 0.506 0.506 0.562
Ru 0.250 0.250 0.173
CELL_PARAMETERS angstrom
-3.817 -3.338 -1.796
-1.732 -3.168 -3.988
1.453 -4.465 1.037
```


(3)
This record from Alexandria via LeMat-Bulk describes crystalline B2RuRh at its relaxed geometry. The functional is PBE. Values from VASP.

Results
VASP energy in eV per atom: -7.482
Excess energy over the best structure of this formula in the dataset in meV/atom: 173
Fermi-level density of states in states/eV per cell: 1.3
Energy of formation in meV/atom: 14
Magnetic moment in μB per formula unit: 0.0
Space-group type: Fm-3m, No. 225

Structure (Quantum ESPRESSO input):
```
&SYSTEM
  ibrav = 0, nat = 4, ntyp = 3
/
ATOMIC_SPECIES
Ru 101.07 Ru.upf
B 10.81 B.upf
Rh 102.91 Rh.upf
ATOMIC_POSITIONS crystal
Ru 0.000 0.000 0.000
B 0.250 0.250 0.250
B 0.750 0.750 0.750
Rh 0.500 0.500 0.500
CELL_PARAMETERS angstrom
-0.774 -2.875 -2.399
-2.134 -2.947 1.173
-3.544 -0.454 -1.359
```